## Ba2VOs3O12 (PBE with a Hubbard U)

Data for a geometry-optimized Ba2VOs3O12 structure.

```
Ba2VOs3O12
1.0
3.616 2.088 5.808
-3.616 2.088 5.808
0.000 -4.175 5.808
Ba V Os O
2 1 3 12
Cartesian
0.000 0.000 2.815 Ba
0.000 0.000 14.608 Ba
0.000 0.000 8.712 V
-1.808 -1.044 5.808 Os
-1.808 1.044 11.615 Os
0.000 2.088 5.808 Os
0.000 -1.617 5.252 O
-1.400 0.808 5.252 O
-1.361 -0.786 7.656 O
0.000 -1.571 9.767 O
-1.361 0.786 9.767 O
-1.400 -0.808 12.171 O
1.400 0.808 5.252 O
1.361 -0.786 7.656 O
0.000 1.571 7.656 O
1.361 0.786 9.767 O
1.400 -0.808 12.171 O
0.000 1.617 12.171 O
```

electronic total energy	-7.358	eV/atom
magnetic moment	6.51	μB per formula unit